Compound: Er2FeTc3
Source: Alexandria
Functional: GGA-PBE
Structure: optimized geometry

Cell and atoms, written as CIF:
```
data_Er2FeTc3
_symmetry_space_group_name_H-M 'P 1'
_symmetry_Int_Tables_number 1
_symmetry_space_group_name_Hall 'P 1'
_cell_length_a 5.3963
_cell_length_b 5.3963
_cell_length_c 5.3963
_cell_angle_alpha 58.37
_cell_angle_beta 58.37
_cell_angle_gamma 58.37
loop_
_atom_site_label
_atom_site_type_symbol
_atom_site_fract_x
_atom_site_fract_y
_atom_site_fract_z
Er1 Er 0.1240 0.1240 0.1240
Er2 Er 0.8760 0.8760 0.8760
Fe1 Fe 0.5000 0.5000 0.5000
Tc1 Tc 0.0000 0.5000 0.5000
Tc2 Tc 0.5000 0.0000 0.5000
Tc3 Tc 0.5000 0.5000 0.0000
```

Results
ΔE_f, meV/atom: -189

Compound: ErFe3Tc3
Source: Alexandria
Functional: GGA-PBE
Structure: optimized geometry

Cell and atoms, written as CIF:
```
data_ErFe3Tc3
_symmetry_space_group_name_H-M 'P 1'
_symmetry_Int_Tables_number 1
_symmetry_space_group_name_Hall 'P 1'
_cell_length_a 6.3634
_cell_length_b 6.3634
_cell_length_c 6.3634
_cell_angle_alpha 90.00
_cell_angle_beta 90.00
_cell_angle_gamma 90.00
loop_
_atom_site_label
_atom_site_type_symbol
_atom_site_fract_x
_atom_site_fract_y
_atom_site_fract_z
Er1 Er 0.0000 0.0000 0.0000
Er2 Er 0.5000 0.5000 0.5000
Fe1 Fe 0.0000 0.2500 0.5000
Fe2 Fe 0.0000 0.7500 0.5000
Fe3 Fe 0.2500 0.5000 0.0000
Fe4 Fe 0.5000 0.0000 0.2500
Fe5 Fe 0.5000 0.0000 0.7500
Fe6 Fe 0.7500 0.5000 0.0000
Tc1 Tc 0.0000 0.5000 0.2500
Tc2 Tc 0.0000 0.5000 0.7500
Tc3 Tc 0.2500 0.0000 0.5000
Tc4 Tc 0.5000 0.2500 0.0000
Tc5 Tc 0.5000 0.7500 0.0000
Tc6 Tc 0.7500 0.0000 0.5000
```

Results
ΔE_f, meV/atom: 674

Compound: ErUFeTc
Source: Alexandria
Functional: GGA-PBE
Structure: optimized geometry

Cell and atoms, written as CIF:
```
data_ErUFeTc
_symmetry_space_group_name_H-M 'P 1'
_symmetry_Int_Tables_number 1
_symmetry_space_group_name_Hall 'P 1'
_cell_length_a 4.7322
_cell_length_b 4.7322
_cell_length_c 4.7322
_cell_angle_alpha 60.00
_cell_angle_beta 60.00
_cell_angle_gamma 60.00
loop_
_atom_site_label
_atom_site_type_symbol
_atom_site_fract_x
_atom_site_fract_y
_atom_site_fract_z
Er1 Er 0.0000 0.0000 0.0000
U1 U 0.5000 0.5000 0.5000
Fe1 Fe 0.7500 0.7500 0.7500
Tc1 Tc 0.2500 0.2500 0.2500
```

Results
ΔE_f, meV/atom: 100

Compound: Er5Fe2Te
Source: Alexandria
Functional: GGA-PBE
Structure: optimized geometry

Cell and atoms, written as CIF:
```
data_Er5Fe2Te
_symmetry_space_group_name_H-M 'P 1'
_symmetry_Int_Tables_number 1
_symmetry_space_group_name_Hall 'P 1'
_cell_length_a 8.7822
_cell_length_b 8.7822
_cell_length_c 8.7822
_cell_angle_alpha 130.03
_cell_angle_beta 130.03
_cell_angle_gamma 73.36
loop_
_atom_site_label
_atom_site_type_symbol
_atom_site_fract_x
_atom_site_fract_y
_atom_site_fract_z
Er1 Er 0.0000 0.0000 0.0000
Er2 Er 0.0267 0.5267 0.8244
Er3 Er 0.2023 0.0267 0.5000
Er4 Er 0.2977 0.7977 0.8244
Er5 Er 0.4733 0.2977 0.5000
Er6 Er 0.5000 0.5000 0.0000
Er7 Er 0.5267 0.7023 0.5000
Er8 Er 0.7023 0.2023 0.1756
Er9 Er 0.7977 0.9733 0.5000
Er10 Er 0.9733 0.4733 0.1756
Fe1 Fe 0.1167 0.3833 0.5000
Fe2 Fe 0.3833 0.8833 0.2666
Fe3 Fe 0.6167 0.1167 0.7334
Fe4 Fe 0.8833 0.6167 0.5000
Te1 Te 0.2500 0.2500 0.0000
Te2 Te 0.7500 0.7500 0.0000
```

Results
Formation energy without anion corrections, eV/atom: -0.346

Compound: Er7Fe2Te2
Source: Alexandria
Functional: GGA-PBE
Structure: optimized geometry

Cell and atoms, written as CIF:
```
data_Er7Fe2Te2
_symmetry_space_group_name_H-M 'P 1'
_symmetry_Int_Tables_number 1
_symmetry_space_group_name_Hall 'P 1'
_cell_length_a 9.2861
_cell_length_b 9.2861
_cell_length_c 9.2861
_cell_angle_alpha 155.98
_cell_angle_beta 65.68
_cell_angle_gamma 119.89
loop_
_atom_site_label
_atom_site_type_symbol
_atom_site_fract_x
_atom_site_fract_y
_atom_site_fract_z
Er1 Er 0.0000 0.0000 0.0000
Er2 Er 0.2832 0.4186 0.8646
Er3 Er 0.3118 0.6262 0.6856
Er4 Er 0.5540 0.4186 0.1354
Er5 Er 0.6146 0.2651 0.3495
Er6 Er 0.9156 0.2651 0.6505
Er7 Er 0.9406 0.6262 0.3144
Fe1 Fe 0.1706 0.9339 0.2368
Fe2 Fe 0.6971 0.9339 0.7632
Te1 Te 0.2664 0.7664 0.5000
Te2 Te 0.6653 0.6653 0.0000
```

Results
Formation energy without anion corrections, eV/atom: -0.493

Compound: Er5FeTe4
Source: Alexandria
Functional: GGA-PBE
Structure: optimized geometry

Cell and atoms, written as CIF:
```
data_Er5FeTe4
_symmetry_space_group_name_H-M 'P 1'
_symmetry_Int_Tables_number 1
_symmetry_space_group_name_Hall 'P 1'
_cell_length_a 7.4360
_cell_length_b 7.4360
_cell_length_c 7.4360
_cell_angle_alpha 99.49
_cell_angle_beta 99.49
_cell_angle_gamma 132.08
loop_
_atom_site_label
_atom_site_type_symbol
_atom_site_fract_x
_atom_site_fract_y
_atom_site_fract_z
Er1 Er 0.0000 0.0000 0.0000
Er2 Er 0.2528 0.5882 0.8410
Er3 Er 0.4118 0.2528 0.6646
Er4 Er 0.5882 0.7472 0.3354
Er5 Er 0.7472 0.4118 0.1590
Fe1 Fe 0.5000 0.5000 0.0000
Te1 Te 0.0918 0.3110 0.4028
Te2 Te 0.3110 0.9082 0.2191
Te3 Te 0.6890 0.0918 0.7809
Te4 Te 0.9082 0.6890 0.5972
```

Results
Formation energy without anion corrections, eV/atom: -0.964

Compound: Er5FeTe2
Source: Alexandria
Functional: GGA-PBE
Structure: optimized geometry

Cell and atoms, written as CIF:
```
data_Er5FeTe2
_symmetry_space_group_name_H-M 'P 1'
_symmetry_Int_Tables_number 1
_symmetry_space_group_name_Hall 'P 1'
_cell_length_a 8.2249
_cell_length_b 8.2249
_cell_length_c 13.1645
_cell_angle_alpha 90.00
_cell_angle_beta 90.00
_cell_angle_gamma 140.54
loop_
_atom_site_label
_atom_site_type_symbol
_atom_site_fract_x
_atom_site_fract_y
_atom_site_fract_z
Er1 Er 0.0514 0.9486 0.6122
Er2 Er 0.0514 0.9486 0.8878
Er3 Er 0.2720 0.7280 0.6097
Er4 Er 0.2720 0.7280 0.8903
Er5 Er 0.3247 0.6753 0.2500
Er6 Er 0.6753 0.3247 0.7500
Er7 Er 0.7280 0.2720 0.1097
Er8 Er 0.7280 0.2720 0.3903
Er9 Er 0.9486 0.0514 0.1122
Er10 Er 0.9486 0.0514 0.3878
Fe1 Fe 0.1564 0.8436 0.7500
Fe2 Fe 0.8436 0.1564 0.2500
Te1 Te 0.1583 0.8417 0.0915
Te2 Te 0.1583 0.8417 0.4085
Te3 Te 0.8417 0.1583 0.5915
Te4 Te 0.8417 0.1583 0.9085
```

Results
Formation energy without anion corrections, eV/atom: -0.311

Compound: ErTh2Fe
Source: Alexandria
Functional: GGA-PBE
Structure: optimized geometry

Cell and atoms, written as CIF:
```
data_ErTh2Fe
_symmetry_space_group_name_H-M 'P 1'
_symmetry_Int_Tables_number 1
_symmetry_space_group_name_Hall 'P 1'
_cell_length_a 6.0959
_cell_length_b 6.0959
_cell_length_c 9.7383
_cell_angle_alpha 90.00
_cell_angle_beta 90.00
_cell_angle_gamma 144.75
loop_
_atom_site_label
_atom_site_type_symbol
_atom_site_fract_x
_atom_site_fract_y
_atom_site_fract_z
Er1 Er 0.0882 0.9118 0.7500
Er2 Er 0.9118 0.0882 0.2500
Th1 Th 0.3610 0.6390 0.5699
Th2 Th 0.3610 0.6390 0.9301
Th3 Th 0.6390 0.3610 0.0699
Th4 Th 0.6390 0.3610 0.4301
Fe1 Fe 0.1994 0.8006 0.2500
Fe2 Fe 0.8006 0.1994 0.7500
```

Results
ΔE_f, meV/atom: -59
Energy above the most stable polymorph in this dataset, kJ/mol of atoms: 0.5

Compound: Er3ThFe
Source: Alexandria
Functional: GGA-PBE
Structure: optimized geometry

Cell and atoms, written as CIF:
```
data_Er3ThFe
_symmetry_space_group_name_H-M 'P 1'
_symmetry_Int_Tables_number 1
_symmetry_space_group_name_Hall 'P 1'
_cell_length_a 5.2094
_cell_length_b 5.2094
_cell_length_c 5.2094
_cell_angle_alpha 90.00
_cell_angle_beta 90.00
_cell_angle_gamma 90.00
loop_
_atom_site_label
_atom_site_type_symbol
_atom_site_fract_x
_atom_site_fract_y
_atom_site_fract_z
Er1 Er 0.0000 0.0000 0.5000
Er2 Er 0.0000 0.5000 0.0000
Er3 Er 0.5000 0.0000 0.0000
Th1 Th 0.5000 0.5000 0.5000
Fe1 Fe 0.0000 0.0000 0.0000
```

Results
ΔE_f, meV/atom: 189

Compound: ErTh2Fe
Source: Alexandria
Functional: GGA-PBE
Structure: optimized geometry

Cell and atoms, written as CIF:
```
data_ErTh2Fe
_symmetry_space_group_name_H-M 'P 1'
_symmetry_Int_Tables_number 1
_symmetry_space_group_name_Hall 'P 1'
_cell_length_a 6.9717
_cell_length_b 9.7574
_cell_length_c 6.1711
_cell_angle_alpha 90.00
_cell_angle_beta 90.00
_cell_angle_gamma 90.00
loop_
_atom_site_label
_atom_site_type_symbol
_atom_site_fract_x
_atom_site_fract_y
_atom_site_fract_z
Er1 Er 0.0485 0.2500 0.1538
Er2 Er 0.4515 0.7500 0.6538
Er3 Er 0.5485 0.2500 0.3462
Er4 Er 0.9515 0.7500 0.8462
Th1 Th 0.1682 0.0686 0.6743
Th2 Th 0.1682 0.4314 0.6743
Th3 Th 0.3318 0.5686 0.1743
Th4 Th 0.3318 0.9314 0.1743
Th5 Th 0.6682 0.0686 0.8257
Th6 Th 0.6682 0.4314 0.8257
Th7 Th 0.8318 0.5686 0.3257
Th8 Th 0.8318 0.9314 0.3257
Fe1 Fe 0.1034 0.7500 0.3895
Fe2 Fe 0.3966 0.2500 0.8895
Fe3 Fe 0.6034 0.7500 0.1105
Fe4 Fe 0.8966 0.2500 0.6105
```

Results
ΔE_f, meV/atom: -65
Energy above the most stable polymorph in this dataset, kJ/mol of atoms: 0.0

Compound: ErTh3Fe
Source: Alexandria
Functional: GGA-PBE
Structure: optimized geometry

Cell and atoms, written as CIF:
```
data_ErTh3Fe
_symmetry_space_group_name_H-M 'P 1'
_symmetry_Int_Tables_number 1
_symmetry_space_group_name_Hall 'P 1'
_cell_length_a 5.3115
_cell_length_b 5.3115
_cell_length_c 5.3115
_cell_angle_alpha 90.00
_cell_angle_beta 90.00
_cell_angle_gamma 90.00
loop_
_atom_site_label
_atom_site_type_symbol
_atom_site_fract_x
_atom_site_fract_y
_atom_site_fract_z
Er1 Er 0.0000 0.0000 0.0000
Th1 Th 0.0000 0.5000 0.5000
Th2 Th 0.5000 0.0000 0.5000
Th3 Th 0.5000 0.5000 0.0000
Fe1 Fe 0.5000 0.5000 0.5000
```

Results
ΔE_f, meV/atom: 71

Compound: Er3Th2Fe2
Source: Alexandria
Functional: GGA-PBE
Structure: optimized geometry

Cell and atoms, written as CIF:
```
data_Er3Th2Fe2
_symmetry_space_group_name_H-M 'P 1'
_symmetry_Int_Tables_number 1
_symmetry_space_group_name_Hall 'P 1'
_cell_length_a 3.6670
_cell_length_b 6.1981
_cell_length_c 8.6816
_cell_angle_alpha 102.35
_cell_angle_beta 102.17
_cell_angle_gamma 107.16
loop_
_atom_site_label
_atom_site_type_symbol
_atom_site_fract_x
_atom_site_fract_y
_atom_site_fract_z
Er1 Er 0.0000 0.0000 0.0000
Er2 Er 0.2938 0.1735 0.4141
Er3 Er 0.7062 0.8265 0.5859
Th1 Th 0.1302 0.4604 0.7992
Th2 Th 0.8698 0.5396 0.2008
Fe1 Fe 0.4665 0.1626 0.7703
Fe2 Fe 0.5335 0.8374 0.2297
```

Results
ΔE_f, meV/atom: -64